Run a
BaHfMg | PBE | optimized geometry

Cell: 7.3767 7.3767 7.3767 Å, 90.00 90.00 90.00°
With the nearest neighbours (Å) after each atom.
Space group F-43m (No. 216)
Unique sites:
Ba: 0.0000 0.0000 0.0000  4 Hf 3.19
Hf: 0.2500 0.2500 0.2500  4 Ba 3.19, 4 Mg 3.19
Mg: 0.0000 0.0000 0.5000  4 Hf 3.19

=====

Run b
BaHfMg | PBE | optimized geometry

Cell: 7.4246 7.4246 7.4246 Å, 90.00 90.00 90.00°
With the nearest neighbours (Å) after each atom.
Space group F-43m (No. 216)
Unique sites:
Ba: 0.0000 0.0000 0.0000  4 Hf 3.21, 4 Mg 3.21
Hf: 0.2500 0.2500 0.7500  4 Ba 3.21
Mg: 0.2500 0.2500 0.2500  4 Ba 3.21

=====

Stability, highest: run a

=====

Run a
BaHfMgNi | PBE | optimized geometry

Cell: 7.1480 7.1480 7.1480 Å, 90.00 90.00 90.00°
With the nearest neighbours (Å) after each atom.
Space group F-43m (No. 216)
Unique sites:
Ba: 0.0000 0.0000 0.0000  4 Ni 3.10, 4 Hf 3.10
Hf: 0.2500 0.2500 0.2500  4 Ba 3.10, 4 Mg 3.10
Mg: 0.0000 0.0000 0.5000  4 Hf 3.10, 4 Ni 3.10
Ni: 0.2500 0.2500 0.7500  4 Mg 3.10, 4 Ba 3.10

=====

Run b
BaHfMgNi | PBE | optimized geometry

Cell: 7.0813 7.0813 7.0813 Å, 90.00 90.00 90.00°
With the nearest neighbours (Å) after each atom.
Space group F-43m (No. 216)
Unique sites:
Ba: 0.0000 0.0000 0.0000  4 Hf 3.07, 4 Mg 3.07
Hf: 0.2500 0.2500 0.7500  4 Ba 3.07, 4 Ni 3.07
Mg: 0.2500 0.2500 0.2500  4 Ba 3.07, 4 Ni 3.07
Ni: 0.0000 0.0000 0.5000  4 Mg 3.07, 4 Hf 3.07

=====

Run c
BaHfMgNi | PBE | optimized geometry

Cell: 7.2968 7.2968 7.2968 Å, 90.00 90.00 90.00°
With the nearest neighbours (Å) after each atom.
Space group F-43m (No. 216)
Unique sites:
Ba: 0.0000 0.0000 0.0000  4 Mg 3.16, 4 Ni 3.16
Hf: 0.0000 0.0000 0.5000  4 Ni 3.16, 4 Mg 3.16
Mg: 0.2500 0.2500 0.7500  4 Hf 3.16, 4 Ba 3.16
Ni: 0.2500 0.2500 0.2500  4 Hf 3.16, 4 Ba 3.16

=====

Stability, highest: run c

=====

Run a
BaHfMgPd | PBE | optimized geometry

Cell: 7.1525 7.1525 7.1525 Å, 90.00 90.00 90.00°
With the nearest neighbours (Å) after each atom.
Space group F-43m (No. 216)
Unique sites:
Ba: 0.0000 0.0000 0.0000  4 Mg 3.10, 4 Hf 3.10
Hf: 0.2500 0.2500 0.7500  4 Ba 3.10, 4 Pd 3.10
Mg: 0.2500 0.2500 0.2500  4 Pd 3.10, 4 Ba 3.10
Pd: 0.0000 0.0000 0.5000  4 Hf 3.10, 4 Mg 3.10

=====

Run b
BaHfMgPd | PBE | optimized geometry

Cell: 7.2572 7.2572 7.2572 Å, 90.00 90.00 90.00°
With the nearest neighbours (Å) after each atom.
Space group F-43m (No. 216)
Unique sites:
Ba: 0.0000 0.0000 0.0000  4 Hf 3.14, 4 Pd 3.14
Hf: 0.2500 0.2500 0.2500  4 Ba 3.14, 4 Mg 3.14
Mg: 0.0000 0.0000 0.5000  4 Hf 3.14, 4 Pd 3.14
Pd: 0.2500 0.2500 0.7500  4 Ba 3.14, 4 Mg 3.14

=====

Stability, highest: run a

=====

Run a
BaHfMgPt | PBE | optimized geometry

Cell: 7.1989 7.1989 7.1989 Å, 90.00 90.00 90.00°
With the nearest neighbours (Å) after each atom.
Space group F-43m (No. 216)
Unique sites:
Ba: 0.0000 0.0000 0.0000  4 Hf 3.12, 4 Pt 3.12
Hf: 0.2500 0.2500 0.2500  4 Ba 3.12, 4 Mg 3.12
Mg: 0.0000 0.0000 0.5000  4 Hf 3.12, 4 Pt 3.12
Pt: 0.2500 0.2500 0.7500  4 Ba 3.12, 4 Mg 3.12

=====

Run b
BaHfMgPt | PBE | optimized geometry

Cell: 7.3585 7.3585 7.3585 Å, 90.00 90.00 90.00°
With the nearest neighbours (Å) after each atom.
Space group F-43m (No. 216)
Unique sites:
Ba: 0.0000 0.0000 0.0000  4 Mg 3.19, 4 Pt 3.19
Hf: 0.0000 0.0000 0.5000  4 Mg 3.19, 4 Pt 3.19
Mg: 0.2500 0.2500 0.7500  4 Hf 3.19, 4 Ba 3.19
Pt: 0.2500 0.2500 0.2500  4 Hf 3.19, 4 Ba 3.19

=====

Run c
BaHfMgPt | PBE | optimized geometry

Cell: 7.0883 7.0883 7.0883 Å, 90.00 90.00 90.00°
With the nearest neighbours (Å) after each atom.
Space group F-43m (No. 216)
Unique sites:
Ba: 0.0000 0.0000 0.0000  4 Hf 3.07, 4 Mg 3.07
Hf: 0.2500 0.2500 0.7500  4 Ba 3.07, 4 Pt 3.07
Mg: 0.2500 0.2500 0.2500  4 Ba 3.07, 4 Pt 3.07
Pt: 0.0000 0.0000 0.5000  4 Hf 3.07, 4 Mg 3.07

=====

Stability, highest: run c